[1]
A geometry-optimized FeHgMo2 structure. Source: Alexandria via LeMat-Bulk, functional PBE.

CIF file:
```
data_FeHgMo2
_cell_length_a 9.978
_cell_length_b 3.296
_cell_length_c 4.277
_cell_angle_alpha 90.00
_cell_angle_beta 115.28
_cell_angle_gamma 90.00
_space_group_name_H-M_alt 'C 1 2/m 1'
_space_group_IT_number 12
loop_
_space_group_symop_operation_xyz
'x,y,z'
'-x,-y,-z'
'-x,y,-z'
'x,-y,z'
'x+1/2,y+1/2,z'
'-x+1/2,-y+1/2,-z'
'-x+1/2,y+1/2,-z'
'x+1/2,-y+1/2,z'
loop_
_atom_site_label
_atom_site_fract_x
_atom_site_fract_y
_atom_site_fract_z
_atom_site_occupancy
Fe1 0.000 0.000 0.000 1
Hg1 0.000 0.500 0.500 1
Mo1 0.234 0.500 0.234 1
```

Computed properties:
Magnetization in μB per cell: 4.7
Fermi-level density of states in states/eV per atom: 0.813
E_form in eV/f.u.: 1.76
V in Å³/f.u.: 63.59

[2]
A geometry-optimized FeHg2Mo structure. Source: Alexandria via LeMat-Bulk, functional PBE.

CIF file:
```
data_FeHg2Mo
_cell_length_a 2.848
_cell_length_b 2.848
_cell_length_c 8.576
_cell_angle_alpha 90.00
_cell_angle_beta 90.00
_cell_angle_gamma 90.00
_space_group_name_H-M_alt 'P 4/m m m'
_space_group_IT_number 123
_space_group_name_Hall '-P 4 2'
loop_
_atom_site_label
_atom_site_fract_x
_atom_site_fract_y
_atom_site_fract_z
_atom_site_occupancy
Fe1 0.000 0.000 0.000 1
Hg1 0.500 0.500 0.239 1
Mo1 0.000 0.000 0.500 1
```

Computed properties:
Magnetization in μB per cell: 2.8
Fermi-level density of states in states/eV per atom: 0.495
Energy relative to the lowest polymorph listed for this composition in meV per atom: 195
E_form in eV/f.u.: 2.24
V in Å³/f.u.: 69.55

[3]
A geometry-optimized FeHgMo2 structure. Source: Alexandria via LeMat-Bulk, functional PBE.

CIF file:
```
data_FeHgMo2
_cell_length_a 2.723
_cell_length_b 4.397
_cell_length_c 5.514
_cell_angle_alpha 90.00
_cell_angle_beta 99.27
_cell_angle_gamma 90.00
_space_group_name_H-M_alt 'P 1 m 1'
_space_group_IT_number 6
loop_
_space_group_symop_operation_xyz
'x,y,z'
'x,-y,z'
loop_
_atom_site_label
_atom_site_fract_x
_atom_site_fract_y
_atom_site_fract_z
_atom_site_occupancy
Fe1 0.000 0.000 0.000 1
Hg1 0.948 0.500 0.284 1
Mo1 0.323 0.500 0.799 1
Mo2 0.546 0.000 0.560 1
```

Computed properties:
Magnetization in μB per cell: 2.4
Fermi-level density of states in states/eV per atom: 0.712
E_form in eV/f.u.: 1.74
V in Å³/f.u.: 65.16

Q: Which value of V does entry 1 give?
A: 63.59 Å³/f.u.